Record 1
# AlCuW2 (PBE-GGA, optimized geometry)
data_AlCuW2
_chemical_formula_sum 'Al1 Cu1 W2'
_cell_length_a 4.630
_cell_length_b 4.630
_cell_length_c 2.741
_cell_angle_alpha 90.00
_cell_angle_beta 90.00
_cell_angle_gamma 90.00
_space_group_name_H-M_alt 'P 4/m m m'
_space_group_IT_number 123
_space_group_name_Hall '-P 4 2'
loop_
_atom_site_label
_atom_site_type_symbol
_atom_site_fract_x
_atom_site_fract_y
_atom_site_fract_z
Al1 Al 0.000 0.000 0.000
Cu1 Cu 0.500 0.500 0.000
W1 W 0.000 0.500 0.500
# - Crystal system: tetragonal

Record 2
# AlCu3W (PBE-GGA, optimized geometry)
data_AlCu3W
_chemical_formula_sum 'Al1 Cu3 W1'
_cell_length_a 4.252
_cell_length_b 4.252
_cell_length_c 4.252
_cell_angle_alpha 90.00
_cell_angle_beta 90.00
_cell_angle_gamma 90.00
_space_group_name_H-M_alt 'P m -3 m'
_space_group_IT_number 221
_space_group_name_Hall '-P 4 2 3'
loop_
_atom_site_label
_atom_site_type_symbol
_atom_site_fract_x
_atom_site_fract_y
_atom_site_fract_z
Al1 Al 0.000 0.000 0.000
Cu1 Cu 0.000 0.000 0.500
W1 W 0.500 0.500 0.500
# - Offset from the most stable computed form: 0.000 eV per atom
# - Crystal system: cubic

Record 3
# AlCuW2 (PBE-GGA, optimized geometry)
data_AlCuW2
_chemical_formula_sum 'Al3 Cu3 W6'
_cell_length_a 2.7805
_cell_length_b 2.7805
_cell_length_c 27.2413
_cell_angle_alpha 90.00
_cell_angle_beta 90.00
_cell_angle_gamma 120.00
_space_group_name_H-M_alt 'R 3 m'
_space_group_IT_number 160
_space_group_name_Hall 'R 3 -2"'
loop_
_atom_site_label
_atom_site_type_symbol
_atom_site_fract_x
_atom_site_fract_y
_atom_site_fract_z
Al1 Al 0.0000 0.0000 0.0000
Cu1 Cu 0.0000 0.0000 0.2566
W1 W 0.0000 0.0000 0.5073
W2 W 0.0000 0.0000 0.7508
# - Crystal system: trigonal

Record 4
# AlCuW2 (PBE-GGA, optimized geometry)
data_AlCuW2
_chemical_formula_sum 'Al2 Cu2 W4'
_cell_length_a 3.206
_cell_length_b 4.408
_cell_length_c 8.478
_cell_angle_alpha 90.00
_cell_angle_beta 90.00
_cell_angle_gamma 90.00
_space_group_name_H-M_alt 'C m m 2'
_space_group_IT_number 35
loop_
_space_group_symop_operation_xyz
'x,y,z'
'-x,-y,z'
'-x,y,z'
'x,-y,z'
'x+1/2,y+1/2,z'
'-x+1/2,-y+1/2,z'
'-x+1/2,y+1/2,z'
'x+1/2,-y+1/2,z'
loop_
_atom_site_label
_atom_site_type_symbol
_atom_site_fract_x
_atom_site_fract_y
_atom_site_fract_z
Al1 Al 0.000 0.000 0.000
Cu1 Cu 0.000 0.500 0.771
W1 W 0.000 0.000 0.521
W2 W 0.000 0.500 0.256
# - Crystal system: orthorhombic

Record 5
# AlCuW2 (PBE-GGA, optimized geometry)
data_AlCuW2
_chemical_formula_sum 'Al1 Cu1 W2'
_cell_length_a 2.686
_cell_length_b 4.282
_cell_length_c 5.287
_cell_angle_alpha 90.00
_cell_angle_beta 101.10
_cell_angle_gamma 90.00
_space_group_name_H-M_alt 'P 1 2/m 1'
_space_group_IT_number 10
loop_
_space_group_symop_operation_xyz
'x,y,z'
'-x,-y,-z'
'-x,y,-z'
'x,-y,z'
loop_
_atom_site_label
_atom_site_type_symbol
_atom_site_fract_x
_atom_site_fract_y
_atom_site_fract_z
Al1 Al 0.000 0.000 0.000
Cu1 Cu 0.000 0.000 0.500
W1 W 0.485 0.500 0.752
# - Crystal system: monoclinic

Record 6
# AlCuW2 (PBE-GGA, optimized geometry)
data_AlCuW2
_chemical_formula_sum 'Al1 Cu1 W2'
_cell_length_a 3.754
_cell_length_b 3.754
_cell_length_c 4.225
_cell_angle_alpha 90.00
_cell_angle_beta 90.00
_cell_angle_gamma 90.00
_space_group_name_H-M_alt 'P 4/m m m'
_space_group_IT_number 123
_space_group_name_Hall '-P 4 2'
loop_
_atom_site_label
_atom_site_type_symbol
_atom_site_fract_x
_atom_site_fract_y
_atom_site_fract_z
Al1 Al 0.000 0.000 0.000
Cu1 Cu 0.500 0.500 0.000
W1 W 0.000 0.500 0.500
# - Crystal system: tetragonal

Record 7
# AlCuW2 (PBE-GGA, optimized geometry)
data_AlCuW2
_chemical_formula_sum 'Al2 Cu2 W4'
_cell_length_a 9.554
_cell_length_b 3.331
_cell_length_c 4.161
_cell_angle_alpha 90.00
_cell_angle_beta 115.71
_cell_angle_gamma 90.00
_space_group_name_H-M_alt 'C 1 2/m 1'
_space_group_IT_number 12
loop_
_space_group_symop_operation_xyz
'x,y,z'
'-x,-y,-z'
'-x,y,-z'
'x,-y,z'
'x+1/2,y+1/2,z'
'-x+1/2,-y+1/2,-z'
'-x+1/2,y+1/2,-z'
'x+1/2,-y+1/2,z'
loop_
_atom_site_label
_atom_site_type_symbol
_atom_site_fract_x
_atom_site_fract_y
_atom_site_fract_z
Al1 Al 0.000 0.000 0.000
Cu1 Cu 0.000 0.500 0.500
W1 W 0.249 0.000 0.749
# - Crystal system: monoclinic

Record 8
# AlCu3W (PBE-GGA, optimized geometry)
data_AlCu3W
_chemical_formula_sum 'Al1 Cu3 W1'
_cell_length_a 4.714
_cell_length_b 4.714
_cell_length_c 4.714
_cell_angle_alpha 90.00
_cell_angle_beta 90.00
_cell_angle_gamma 90.00
_space_group_name_H-M_alt 'P m -3 m'
_space_group_IT_number 221
_space_group_name_Hall '-P 4 2 3'
loop_
_atom_site_label
_atom_site_type_symbol
_atom_site_fract_x
_atom_site_fract_y
_atom_site_fract_z
Al1 Al 0.000 0.000 0.000
Cu1 Cu 0.000 0.500 0.500
W1 W 0.500 0.500 0.500
# - Offset from the most stable computed form: 0.391 eV per atom
# - Crystal system: cubic

Record 9
# AlCuW2 (PBE-GGA, optimized geometry)
data_AlCuW2
_chemical_formula_sum 'Al2 Cu2 W4'
_cell_length_a 3.920
_cell_length_b 3.920
_cell_length_c 7.754
_cell_angle_alpha 90.00
_cell_angle_beta 90.00
_cell_angle_gamma 90.00
_space_group_name_H-M_alt 'I -4 m 2'
_space_group_IT_number 119
_space_group_name_Hall 'I -4 -2'
loop_
_atom_site_label
_atom_site_type_symbol
_atom_site_fract_x
_atom_site_fract_y
_atom_site_fract_z
Al1 Al 0.000 0.000 0.000
Cu1 Cu 0.000 0.500 0.750
W1 W 0.000 0.000 0.500
W2 W 0.000 0.500 0.250
# - Crystal system: tetragonal

Record 10
# AlCuW2 (PBE-GGA, optimized geometry)
data_AlCuW2
_chemical_formula_sum 'Al4 Cu4 W8'
_cell_length_a 6.213
_cell_length_b 6.213
_cell_length_c 6.213
_cell_angle_alpha 90.00
_cell_angle_beta 90.00
_cell_angle_gamma 90.00
_space_group_name_H-M_alt 'F -4 3 m'
_space_group_IT_number 216
_space_group_name_Hall 'F -4 2 3'
loop_
_atom_site_label
_atom_site_type_symbol
_atom_site_fract_x
_atom_site_fract_y
_atom_site_fract_z
Al1 Al 0.000 0.000 0.000
Cu1 Cu 0.250 0.250 0.750
W1 W 0.000 0.000 0.500
W2 W 0.250 0.250 0.250
# - Crystal system: cubic

Record 11
# Al5CuW2 (PBE-GGA, optimized geometry)
data_Al5CuW2
_chemical_formula_sum 'Al5 Cu1 W2'
_cell_length_a 3.786
_cell_length_b 3.786
_cell_length_c 8.254
_cell_angle_alpha 90.00
_cell_angle_beta 90.00
_cell_angle_gamma 90.00
_space_group_name_H-M_alt 'P 4/m m m'
_space_group_IT_number 123
_space_group_name_Hall '-P 4 2'
loop_
_atom_site_label
_atom_site_type_symbol
_atom_site_fract_x
_atom_site_fract_y
_atom_site_fract_z
Al1 Al 0.000 0.000 0.000
Al2 Al 0.000 0.500 0.261
Cu1 Cu 0.500 0.500 0.500
W1 W 0.000 0.000 0.500
W2 W 0.500 0.500 0.000
# - Crystal system: tetragonal

Record 12
# AlCuW2 (PBE-GGA, optimized geometry)
data_AlCuW2
_chemical_formula_sum 'Al1 Cu1 W2'
_cell_length_a 2.697
_cell_length_b 2.697
_cell_length_c 8.138
_cell_angle_alpha 90.00
_cell_angle_beta 90.00
_cell_angle_gamma 90.00
_space_group_name_H-M_alt 'P 4/m m m'
_space_group_IT_number 123
_space_group_name_Hall '-P 4 2'
loop_
_atom_site_label
_atom_site_type_symbol
_atom_site_fract_x
_atom_site_fract_y
_atom_site_fract_z
Al1 Al 0.000 0.000 0.000
Cu1 Cu 0.000 0.000 0.500
W1 W 0.500 0.500 0.254
# - Crystal system: tetragonal

Record 13
# AlCuW2 (PBE-GGA, optimized geometry)
data_AlCuW2
_chemical_formula_sum 'Al2 Cu2 W4'
_cell_length_a 3.553
_cell_length_b 4.060
_cell_length_c 8.214
_cell_angle_alpha 90.00
_cell_angle_beta 90.00
_cell_angle_gamma 90.00
_space_group_name_H-M_alt 'C m m m'
_space_group_IT_number 65
_space_group_name_Hall '-C 2 2'
loop_
_atom_site_label
_atom_site_type_symbol
_atom_site_fract_x
_atom_site_fract_y
_atom_site_fract_z
Al1 Al 0.000 0.000 0.000
Cu1 Cu 0.000 0.000 0.500
W1 W 0.000 0.500 0.254
# - Crystal system: orthorhombic

Record 14
# AlCuW2 (PBE-GGA, optimized geometry)
data_AlCuW2
_chemical_formula_sum 'Al1 Cu1 W2'
_cell_length_a 2.671
_cell_length_b 4.105
_cell_length_c 5.550
_cell_angle_alpha 90.00
_cell_angle_beta 90.00
_cell_angle_gamma 90.00
_space_group_name_H-M_alt 'P m m 2'
_space_group_IT_number 25
loop_
_space_group_symop_operation_xyz
'x,y,z'
'-x,-y,z'
'-x,y,z'
'x,-y,z'
loop_
_atom_site_label
_atom_site_type_symbol
_atom_site_fract_x
_atom_site_fract_y
_atom_site_fract_z
Al1 Al 0.000 0.000 0.000
Cu1 Cu 0.500 0.500 0.225
W1 W 0.000 0.000 0.493
W2 W 0.500 0.500 0.733
# - Crystal system: orthorhombic

Record 15
# AlCuW4 (PBE-GGA, optimized geometry)
data_AlCuW4
_chemical_formula_sum 'Al4 Cu4 W16'
_cell_length_a 7.442
_cell_length_b 7.442
_cell_length_c 7.442
_cell_angle_alpha 90.00
_cell_angle_beta 90.00
_cell_angle_gamma 90.00
_space_group_name_H-M_alt 'F -4 3 m'
_space_group_IT_number 216
_space_group_name_Hall 'F -4 2 3'
loop_
_atom_site_label
_atom_site_type_symbol
_atom_site_fract_x
_atom_site_fract_y
_atom_site_fract_z
Al1 Al 0.000 0.000 0.000
Cu1 Cu 0.250 0.250 0.750
W1 W 0.125 0.125 0.375
# - Crystal system: cubic

Record 16
# AlCuW2 (PBE-GGA, optimized geometry)
data_AlCuW2
_chemical_formula_sum 'Al1 Cu1 W2'
_cell_length_a 3.256
_cell_length_b 3.256
_cell_length_c 5.762
_cell_angle_alpha 90.00
_cell_angle_beta 90.00
_cell_angle_gamma 90.00
_space_group_name_H-M_alt 'P 4 m m'
_space_group_IT_number 99
loop_
_space_group_symop_operation_xyz
'x,y,z'
'-y,x,z'
'-x,-y,z'
'y,-x,z'
'-x,y,z'
'y,x,z'
'x,-y,z'
'-y,-x,z'
loop_
_atom_site_label
_atom_site_type_symbol
_atom_site_fract_x
_atom_site_fract_y
_atom_site_fract_z
Al1 Al 0.000 0.000 0.000
Cu1 Cu 0.500 0.500 0.212
W1 W 0.000 0.000 0.497
W2 W 0.500 0.500 0.715
# - Crystal system: tetragonal

Record 17
# AlCuW2 (PBE-GGA, optimized geometry)
data_AlCuW2
_chemical_formula_sum 'Al3 Cu3 W6'
_cell_length_a 2.7900
_cell_length_b 2.7900
_cell_length_c 27.0362
_cell_angle_alpha 90.00
_cell_angle_beta 90.00
_cell_angle_gamma 120.00
_space_group_name_H-M_alt 'R -3 m'
_space_group_IT_number 166
_space_group_name_Hall '-R 3 2"'
loop_
_atom_site_label
_atom_site_type_symbol
_atom_site_fract_x
_atom_site_fract_y
_atom_site_fract_z
Al1 Al 0.0000 0.0000 0.0000
Cu1 Cu 0.0000 0.0000 0.5000
W1 W 0.0000 0.0000 0.2488
# - Crystal system: trigonal

Record 18
# Al6CuW (PBE-GGA, optimized geometry)
data_Al6CuW
_chemical_formula_sum 'Al12 Cu2 W2'
_cell_length_a 5.156
_cell_length_b 9.138
_cell_length_c 5.473
_cell_angle_alpha 90.00
_cell_angle_beta 103.29
_cell_angle_gamma 90.00
_space_group_name_H-M_alt 'C 1 2/m 1'
_space_group_IT_number 12
loop_
_space_group_symop_operation_xyz
'x,y,z'
'-x,-y,-z'
'-x,y,-z'
'x,-y,z'
'x+1/2,y+1/2,z'
'-x+1/2,-y+1/2,-z'
'-x+1/2,y+1/2,-z'
'x+1/2,-y+1/2,z'
loop_
_atom_site_label
_atom_site_type_symbol
_atom_site_fract_x
_atom_site_fract_y
_atom_site_fract_z
Al1 Al 0.031 0.000 0.244
Al2 Al 0.191 0.254 0.744
Cu1 Cu 0.000 0.500 0.500
W1 W 0.000 0.500 0.000
# - Crystal system: monoclinic

Record 19
# AlCuW3 (PBE-GGA, optimized geometry)
data_AlCuW3
_chemical_formula_sum 'Al1 Cu1 W3'
_cell_length_a 4.504
_cell_length_b 4.504
_cell_length_c 4.504
_cell_angle_alpha 90.00
_cell_angle_beta 90.00
_cell_angle_gamma 90.00
_space_group_name_H-M_alt 'P m -3 m'
_space_group_IT_number 221
_space_group_name_Hall '-P 4 2 3'
loop_
_atom_site_label
_atom_site_type_symbol
_atom_site_fract_x
_atom_site_fract_y
_atom_site_fract_z
Al1 Al 0.000 0.000 0.000
Cu1 Cu 0.500 0.500 0.500
W1 W 0.000 0.500 0.500
# - Offset from the most stable computed form: 0.000 eV per atom
# - Crystal system: cubic

Record 20
# AlCuW2 (PBE-GGA, optimized geometry)
data_AlCuW2
_chemical_formula_sum 'Al4 Cu4 W8'
_cell_length_a 6.953
_cell_length_b 6.953
_cell_length_c 5.262
_cell_angle_alpha 90.00
_cell_angle_beta 90.00
_cell_angle_gamma 90.00
_space_group_name_H-M_alt 'I -4 2 d'
_space_group_IT_number 122
_space_group_name_Hall 'I -4 2bw'
loop_
_atom_site_label
_atom_site_type_symbol
_atom_site_fract_x
_atom_site_fract_y
_atom_site_fract_z
Al1 Al 0.000 0.000 0.000
Cu1 Cu 0.000 0.000 0.500
W1 W 0.241 0.750 0.625
# - Crystal system: tetragonal

| no. | calculated formation energy (eV/f.u.) | theoretical density (kg/m3) |
| --- | --- | --- |
| 1 | 1.34 | 12951 |
| 2 | 6.03 | 8671 |
| 3 | 0.80 | 12515 |
| 4 | 0.27 | 12704 |
| 5 | 0.55 | 12751 |
| 6 | 0.56 | 12779 |
| 7 | 0.51 | 12753 |
| 8 | 7.99 | 6362 |
| 9 | 0.76 | 12772 |
| 10 | 0.79 | 12688 |
| 11 | -1.19 | 7946 |
| 12 | 0.71 | 12855 |
| 13 | 0.69 | 12844 |
| 14 | 0.98 | 12505 |
| 15 | 4.15 | 13311 |
| 16 | 0.60 | 12459 |
| 17 | 1.14 | 12524 |
| 18 | 0.65 | 5417 |
| 19 | 8.61 | 11670 |
| 20 | 3.08 | 11964 |